1.
{
  "formula": "DyZnIn",
  "functional": "PBE",
  "state": "relaxed",
  "lattice_angstrom": [[4.6746, 0.0000, 0.0000], [-2.3373, 4.0483, 0.0000], [0.0000, 0.0000, 7.2273]],
  "species": ["Dy", "Dy", "Zn", "Zn", "In", "In"],
  "fractional_positions": [[0.0000, 0.0000, 0.0000], [0.0000, 0.0000, 0.5000], [0.3333, 0.6667, 0.2500], [0.6667, 0.3333, 0.7500], [0.3333, 0.6667, 0.7500], [0.6667, 0.3333, 0.2500]],
  "e_form_mev_per_atom": -431,
  "magnetic_moment_mub_per_fu": 0.0,
  "e_tot_ev_per_atom": -3.303
}

***

2.
{
  "formula": "Dy12ZnIn3",
  "functional": "PBE",
  "state": "relaxed",
  "lattice_angstrom": [[4.8213, 0.0000, 0.0000], [0.0000, 4.8213, 0.0000], [0.0000, 0.0000, 19.2349]],
  "species": ["Dy", "Dy", "Dy", "Dy", "Dy", "Dy", "Dy", "Dy", "Dy", "Dy", "Dy", "Dy", "Zn", "In", "In", "In"],
  "fractional_positions": [[0.0000, 0.0000, 0.0000], [0.0000, 0.0000, 0.2467], [0.0000, 0.0000, 0.5000], [0.0000, 0.0000, 0.7533], [0.0000, 0.5000, 0.1203], [0.0000, 0.5000, 0.3740], [0.0000, 0.5000, 0.6260], [0.0000, 0.5000, 0.8797], [0.5000, 0.0000, 0.1203], [0.5000, 0.0000, 0.3740], [0.5000, 0.0000, 0.6260], [0.5000, 0.0000, 0.8797], [0.5000, 0.5000, 0.0000], [0.5000, 0.5000, 0.2476], [0.5000, 0.5000, 0.5000], [0.5000, 0.5000, 0.7524]],
  "e_form_mev_per_atom": -205,
  "magnetic_moment_mub_per_fu": 1.6,
  "e_tot_ev_per_atom": -4.250
}

***

3.
{
  "formula": "DyZnIn2",
  "functional": "PBE",
  "state": "relaxed",
  "lattice_angstrom": [[4.4947, 0.0000, 0.0000], [0.0000, 4.4947, 0.0000], [0.0000, 0.0000, 4.5088]],
  "species": ["Dy", "Zn", "In", "In"],
  "fractional_positions": [[0.0000, 0.0000, 0.0000], [0.5000, 0.5000, 0.0000], [0.0000, 0.5000, 0.5000], [0.5000, 0.0000, 0.5000]],
  "e_form_mev_per_atom": -361,
  "magnetic_moment_mub_per_fu": 0.0,
  "e_tot_ev_per_atom": -3.199
}

***

4.
{
  "formula": "Dy3Zn12In5",
  "functional": "PBE",
  "state": "relaxed",
  "lattice_angstrom": [[-8.1395, 8.1395, 8.1395], [8.1395, -8.1395, 8.1395], [8.1395, 8.1395, -8.1395]],
  "species": ["Dy", "Dy", "Dy", "Dy", "Dy", "Dy", "Dy", "Dy", "Dy", "Dy", "Dy", "Dy", "Zn", "Zn", "Zn", "Zn", "Zn", "Zn", "Zn", "Zn", "Zn", "Zn", "Zn", "Zn", "Zn", "Zn", "Zn", "Zn", "Zn", "Zn", "Zn", "Zn", "Zn", "Zn", "Zn", "Zn", "Zn", "Zn", "Zn", "Zn", "Zn", "Zn", "Zn", "Zn", "Zn", "Zn", "Zn", "Zn", "Zn", "Zn", "Zn", "Zn", "Zn", "Zn", "Zn", "Zn", "Zn", "Zn", "Zn", "Zn", "In", "In", "In", "In", "In", "In", "In", "In", "In", "In", "In", "In", "In", "In", "In", "In", "In", "In", "In", "In"],
  "fractional_positions": [[0.1250, 0.2500, 0.3750], [0.1250, 0.3750, 0.7500], [0.2500, 0.3750, 0.1250], [0.2500, 0.8750, 0.6250], [0.3750, 0.1250, 0.2500], [0.3750, 0.7500, 0.1250], [0.6250, 0.2500, 0.8750], [0.6250, 0.8750, 0.7500], [0.7500, 0.1250, 0.3750], [0.7500, 0.6250, 0.8750], [0.8750, 0.6250, 0.2500], [0.8750, 0.7500, 0.6250], [0.0682, 0.2253, 0.1432], [0.0682, 0.3428, 0.9250], [0.0750, 0.6432, 0.4178], [0.0750, 0.9318, 0.6572], [0.0822, 0.7253, 0.6572], [0.0822, 0.8568, 0.4250], [0.1432, 0.0682, 0.2253], [0.1432, 0.5750, 0.9178], [0.1572, 0.2253, 0.5822], [0.1572, 0.4318, 0.5750], [0.2253, 0.1432, 0.0682], [0.2253, 0.5822, 0.1572], [0.2747, 0.3428, 0.9178], [0.2747, 0.4318, 0.3568], [0.3428, 0.9178, 0.2747], [0.3428, 0.9250, 0.0682], [0.3568, 0.2747, 0.4318], [0.3568, 0.5822, 0.9250], [0.4178, 0.0750, 0.6432], [0.4178, 0.8428, 0.7747], [0.4250, 0.0822, 0.8568], [0.4250, 0.8428, 0.5682], [0.4318, 0.3568, 0.2747], [0.4318, 0.5750, 0.1572], [0.5682, 0.4250, 0.8428], [0.5682, 0.6432, 0.7253], [0.5750, 0.1572, 0.4318], [0.5750, 0.9178, 0.1432], [0.5822, 0.1572, 0.2253], [0.5822, 0.9250, 0.3568], [0.6432, 0.4178, 0.0750], [0.6432, 0.7253, 0.5682], [0.6572, 0.0750, 0.9318], [0.6572, 0.0822, 0.7253], [0.7253, 0.5682, 0.6432], [0.7253, 0.6572, 0.0822], [0.7747, 0.4178, 0.8428], [0.7747, 0.8568, 0.9318], [0.8428, 0.5682, 0.4250], [0.8428, 0.7747, 0.4178], [0.8568, 0.4250, 0.0822], [0.8568, 0.9318, 0.7747], [0.9178, 0.1432, 0.5750], [0.9178, 0.2747, 0.3428], [0.9250, 0.0682, 0.3428], [0.9250, 0.3568, 0.5822], [0.9318, 0.6572, 0.0750], [0.9318, 0.7747, 0.8568], [0.0000, 0.0000, 0.0000], [0.0000, 0.0000, 0.5000], [0.0000, 0.5000, 0.0000], [0.0000, 0.5000, 0.5000], [0.1250, 0.7500, 0.8750], [0.1250, 0.8750, 0.2500], [0.2500, 0.1250, 0.8750], [0.2500, 0.6250, 0.3750], [0.3750, 0.2500, 0.6250], [0.3750, 0.6250, 0.7500], [0.5000, 0.0000, 0.0000], [0.5000, 0.0000, 0.5000], [0.5000, 0.5000, 0.0000], [0.5000, 0.5000, 0.5000], [0.6250, 0.3750, 0.2500], [0.6250, 0.7500, 0.3750], [0.7500, 0.3750, 0.6250], [0.7500, 0.8750, 0.1250], [0.8750, 0.1250, 0.7500], [0.8750, 0.2500, 0.1250]],
  "e_form_mev_per_atom": 296,
  "magnetic_moment_mub_per_fu": 0.0,
  "e_tot_ev_per_atom": -1.843
}

***

5.
{
  "formula": "Dy2Zn3In",
  "functional": "PBE",
  "state": "relaxed",
  "lattice_angstrom": [[0.0000, 4.5797, 7.9307], [3.5733, 0.0000, 7.9307], [3.5733, 4.5797, 0.0000]],
  "species": ["Dy", "Dy", "Dy", "Dy", "Zn", "Zn", "Zn", "Zn", "Zn", "Zn", "In", "In"],
  "fractional_positions": [[0.2426, 0.7574, 0.7574], [0.2500, 0.2500, 0.2500], [0.7500, 0.7500, 0.7500], [0.7574, 0.2426, 0.2426], [0.1624, 0.1624, 0.8376], [0.1632, 0.6755, 0.3245], [0.3245, 0.8368, 0.1632], [0.6755, 0.1632, 0.8368], [0.8368, 0.3245, 0.6755], [0.8376, 0.8376, 0.1624], [0.3346, 0.3346, 0.6654], [0.6654, 0.6654, 0.3346]],
  "e_form_mev_per_atom": -397,
  "magnetic_moment_mub_per_fu": 0.0,
  "e_tot_ev_per_atom": -3.024
}

***

6.
{
  "formula": "Dy6Zn2In",
  "functional": "PBE",
  "state": "relaxed",
  "lattice_angstrom": [[-2.4956, 2.4956, 10.8060], [2.4956, -2.4956, 10.8060], [2.4956, 2.4956, -10.8060]],
  "species": ["Dy", "Dy", "Dy", "Dy", "Dy", "Dy", "Zn", "Zn", "In"],
  "fractional_positions": [[0.0897, 0.5897, 0.5000], [0.2500, 0.7500, 0.5000], [0.4103, 0.9103, 0.5000], [0.5897, 0.0897, 0.5000], [0.7500, 0.2500, 0.5000], [0.9103, 0.4103, 0.5000], [0.1682, 0.1682, 0.0000], [0.8318, 0.8318, 0.0000], [0.5000, 0.5000, 0.0000]],
  "e_form_mev_per_atom": -7,
  "magnetic_moment_mub_per_fu": 0.0,
  "e_tot_ev_per_atom": -3.662
}